(1)
PmHf2BiO8: relaxed, PBE-GGA.

As for the formation energy from raw total energies: -258 kJ per mole of atoms. For the calculated density, the calculation gives 8.2 g cm⁻³. For the size of the total moment, the calculation gives 0.00 μB/f.u. The value obtained for the calculated volume is 14.12 A^3/atom.

```
data_PmHf2BiO8
_chemical_formula_sum 'Pm2 Hf4 Bi2 O16'
_symmetry_space_group_name_H-M 'C m m m'
_symmetry_Int_Tables_number 65
_symmetry_space_group_name_Hall '-C 2 2'
_cell_length_a 7.052
_cell_length_b 7.129
_cell_length_c 6.742
_cell_angle_alpha 90.00
_cell_angle_beta 90.00
_cell_angle_gamma 90.00
loop_
_atom_site_label
_atom_site_type_symbol
_atom_site_fract_x
_atom_site_fract_y
_atom_site_fract_z
Pm1 Pm 0.000 0.000 0.000
Hf1 Hf 0.000 0.500 0.248
Bi1 Bi 0.000 0.000 0.500
O1 O 0.000 0.308 0.500
O2 O 0.000 0.324 0.000
O3 O 0.206 0.000 0.270
```

(2)
ScTc2: relaxed, PBE-GGA.

For the calculated density, the calculation gives 7.8 g cm⁻³. For the formation enthalpy at 0 K, the calculation gives 59.0 kJ per mole of atoms. For the size of the total moment, the calculation gives 0.00 μB/f.u. The value obtained for the calculated volume is 17.12 A^3/atom.

```
data_ScTc2
_chemical_formula_sum 'Sc4 Tc8'
_symmetry_space_group_name_H-M 'I 4/m c m'
_symmetry_Int_Tables_number 140
_symmetry_space_group_name_Hall '-I 4 2c'
_cell_length_a 6.190
_cell_length_b 6.190
_cell_length_c 5.361
_cell_angle_alpha 90.00
_cell_angle_beta 90.00
_cell_angle_gamma 90.00
loop_
_atom_site_label
_atom_site_type_symbol
_atom_site_fract_x
_atom_site_fract_y
_atom_site_fract_z
Sc1 Sc 0.000 0.000 0.250
Tc1 Tc 0.136 0.364 0.000
```

(3)
Na3Sr2Ca: relaxed, PBE-GGA.

For the calculated density, the calculation gives 1.7 g cm⁻³. For the formation enthalpy at 0 K, the calculation gives 9.1 kJ per mole of atoms. For the size of the total moment, the calculation gives 0.00 μB/f.u. The value obtained for the calculated volume is 46.01 A^3/atom.

```
data_Na3Sr2Ca
_chemical_formula_sum 'Na12 Sr8 Ca4'
_symmetry_space_group_name_H-M 'C m c m'
_symmetry_Int_Tables_number 63
_symmetry_space_group_name_Hall '-C 2c 2'
_cell_length_a 11.786
_cell_length_b 12.702
_cell_length_c 7.377
_cell_angle_alpha 90.00
_cell_angle_beta 90.00
_cell_angle_gamma 90.00
loop_
_atom_site_label
_atom_site_type_symbol
_atom_site_fract_x
_atom_site_fract_y
_atom_site_fract_z
Na1 Na 0.000 0.000 0.000
Na2 Na 0.155 0.500 0.000
Sr1 Sr 0.169 0.232 0.250
Ca1 Ca 0.000 0.265 0.750
```